DFT (GGA+U) results for a relaxed structure of PuAl2FeO8.

Properties
DFT total energy   -93.9 eV for the cell shown
Total magnetic moment   3.99 Bohr magnetons per cell

Unit cell a=4.642 b=4.642 c=5.939 alpha=90.00 beta=90.00 gamma=91.40
Fractional coordinates of all 12 atoms:
Pu 0.000 0.000 0.000
Al 0.500 0.500 0.266
Al 0.500 0.500 0.734
Fe 0.000 0.000 0.500
O 0.201 0.799 0.254
O 0.201 0.799 0.746
O 0.310 0.310 0.500
O 0.318 0.318 0.000
O 0.682 0.682 0.000
O 0.690 0.690 0.500
O 0.799 0.201 0.254
O 0.799 0.201 0.746